## NaCuTeS3 (PBE-GGA)

Data for crystalline NaCuTeS3 at its relaxed geometry.

- DFT total energy: -22.75 eV per formula unit
- Space group: Cmcm
- Raw formation energy: -0.30 eV per atom

Lattice parameters (Å, degrees): 3.846 6.733 10.214 90.00 90.00 106.60
Element x y z (fractional)
S1 0.362 0.725 0.942
Cu1 0.541 0.083 0.250
Te1 0.000 0.000 0.000
S2 0.638 0.275 0.058
S3 0.072 0.144 0.750
Na1 0.741 0.483 0.750
S4 0.362 0.725 0.558
S5 0.638 0.275 0.442
Cu2 0.459 0.917 0.750
Na2 0.259 0.517 0.250
S6 0.928 0.856 0.250
Te2 0.000 0.000 0.500